# Rb4Er3FeO8, relaxed, DFT GGA+U
# V = 784 Å³/cell
# spin magnetization = 14.89 Bohr magnetons per cell
# raw total energy = -0.231 Ha/atom
data_Rb4Er3FeO8
_chemical_formula_sum 'Rb12 Er9 Fe3 O24'
_cell_length_a 6.8072
_cell_length_b 6.8072
_cell_length_c 19.5399
_cell_angle_alpha 90.00
_cell_angle_beta 90.00
_cell_angle_gamma 120.00
_space_group_name_H-M_alt 'R -3 m'
_space_group_IT_number 166
_space_group_name_Hall '-R 3 2"'
loop_
_atom_site_label
_atom_site_type_symbol
_atom_site_fract_x
_atom_site_fract_y
_atom_site_fract_z
_atom_site_occupancy
Rb1 Rb 0.0000 0.0000 0.0000 1
Rb2 Rb 0.0000 0.5000 0.0000 1
Er1 Er 0.0000 0.5000 0.5000 1
Fe1 Fe 0.0000 0.0000 0.5000 1
O1 O 0.0000 0.0000 0.2248 1
O2 O 0.0143 0.5072 0.2238 1